No. 1
TlBi4Pd15 | PBE | relaxed

Structure (CIF):
```
data_TlBi4Pd15
_chemical_formula_sum 'Tl1 Bi4 Pd15'
_cell_length_a 4.1452
_cell_length_b 4.1452
_cell_length_c 20.4875
_cell_angle_alpha 90.00
_cell_angle_beta 90.00
_cell_angle_gamma 90.00
_symmetry_space_group_name_H-M 'P 4/m m m'
_symmetry_Int_Tables_number 123
_symmetry_space_group_name_Hall '-P 4 2'
loop_
_atom_site_label
_atom_site_type_symbol
_atom_site_fract_x
_atom_site_fract_y
_atom_site_fract_z
Tl1 Tl 0.0000 0.0000 0.0000
Bi1 Bi 0.0000 0.0000 0.1955
Bi2 Bi 0.0000 0.0000 0.3989
Pd1 Pd 0.0000 0.5000 0.0987
Pd2 Pd 0.0000 0.5000 0.2994
Pd3 Pd 0.0000 0.5000 0.5000
Pd4 Pd 0.5000 0.5000 0.0000
Pd5 Pd 0.5000 0.5000 0.2010
Pd6 Pd 0.5000 0.5000 0.4000
```

=====

No. 2
TlBi3Pd4 | PBE | relaxed

Structure (CIF):
```
data_TlBi3Pd4
_chemical_formula_sum 'Tl2 Bi6 Pd8'
_cell_length_a 5.9821
_cell_length_b 10.4617
_cell_length_c 5.8348
_cell_angle_alpha 90.00
_cell_angle_beta 90.00
_cell_angle_gamma 90.00
_symmetry_space_group_name_H-M 'I m m 2'
_symmetry_Int_Tables_number 44
loop_
_symmetry_equiv_pos_as_xyz
'x,y,z'
'-x,-y,z'
'-x,y,z'
'x,-y,z'
'x+1/2,y+1/2,z+1/2'
'-x+1/2,-y+1/2,z+1/2'
'-x+1/2,y+1/2,z+1/2'
'x+1/2,-y+1/2,z+1/2'
loop_
_atom_site_label
_atom_site_type_symbol
_atom_site_fract_x
_atom_site_fract_y
_atom_site_fract_z
Tl1 Tl 0.0000 0.0000 0.0000
Bi1 Bi 0.0000 0.2125 0.4450
Bi2 Bi 0.0000 0.5000 0.6951
Pd1 Pd 0.0000 0.2689 0.9649
Pd2 Pd 0.2486 0.5000 0.0926
```

=====

Record order is preserved below.
Energy of formation: -243 -119 meV/atom